1.
Er3ThC3: relaxed, PBE. Values from VASP.

Calculated values
For the formation enthalpy at 0 K, the calculation gives 0.108 eV per atom. Its crystal system is trigonal.

Geometry as Quantum ESPRESSO input:
```
&SYSTEM
  ibrav = 0, nat = 7, ntyp = 3
/
ATOMIC_SPECIES
Er 167.26 Er.upf
Th 232.04 Th.upf
C 12.01 C.upf
ATOMIC_POSITIONS crystal
Er 0.610 0.610 0.155
Er 0.610 0.155 0.610
Er 0.155 0.610 0.610
Th 0.053 0.053 0.053
C 0.480 0.946 0.946
C 0.946 0.946 0.480
C 0.946 0.480 0.946
CELL_PARAMETERS angstrom
5.225 0.174 0.237
-1.024 5.126 0.237
-1.024 -1.292 4.966
```

2.
MgSn2HOs: relaxed, PBE. Values from VASP.

Calculated values
Its crystal system is tetragonal.

Geometry as Quantum ESPRESSO input:
```
&SYSTEM
  ibrav = 0, nat = 5, ntyp = 4
/
ATOMIC_SPECIES
H 1.01 H.upf
Mg 24.30 Mg.upf
Os 190.23 Os.upf
Sn 118.71 Sn.upf
ATOMIC_POSITIONS crystal
H 0.500 0.500 0.500
Mg 0.000 0.500 0.000
Os 0.000 0.000 0.000
Sn 0.000 0.000 0.500
Sn 0.500 0.000 0.000
CELL_PARAMETERS angstrom
5.065 0.000 0.000
0.000 5.080 0.000
0.000 0.000 5.065
```

3.
LiAg3Te2: relaxed, PBE. Values from VASP.

Calculated values
Its uncorrected formation energy is -1.19 eV per formula unit. Its crystal system is orthorhombic.

Geometry as Quantum ESPRESSO input:
```
&SYSTEM
  ibrav = 0, nat = 12, ntyp = 3
/
ATOMIC_SPECIES
Li 6.94 Li.upf
Ag 107.87 Ag.upf
Te 127.60 Te.upf
ATOMIC_POSITIONS crystal
Li 0.000 0.500 0.000
Li 0.000 0.000 0.000
Ag 0.500 0.250 0.000
Ag 0.500 0.750 0.000
Ag 0.768 0.018 0.535
Ag 0.232 0.482 0.465
Ag 0.232 0.982 0.465
Ag 0.768 0.518 0.535
Te 0.596 0.369 0.739
Te 0.857 0.131 0.261
Te 0.143 0.869 0.739
Te 0.404 0.631 0.261
CELL_PARAMETERS angstrom
-5.828 2.026 3.385
-0.051 -5.427 3.161
6.890 4.610 1.786
```

4.
Li6Ga2Au: relaxed, PBE. Values from VASP.

Calculated values
For the formation enthalpy at 0 K, the calculation gives -0.328 eV per atom. Its crystal system is monoclinic.

Geometry as Quantum ESPRESSO input:
```
&SYSTEM
  ibrav = 0, nat = 9, ntyp = 3
/
ATOMIC_SPECIES
Li 6.94 Li.upf
Ga 69.72 Ga.upf
Au 196.97 Au.upf
ATOMIC_POSITIONS crystal
Li 0.156 0.000 0.332
Li 0.844 0.000 0.668
Li 0.844 0.668 0.000
Li 0.500 0.330 0.670
Li 0.500 0.670 0.330
Li 0.156 0.332 0.000
Ga 0.332 0.334 0.334
Ga 0.668 0.666 0.666
Au 0.000 0.000 0.000
CELL_PARAMETERS angstrom
-2.449 0.332 1.157
0.932 0.300 8.063
0.057 6.877 4.322
```

5.
Ag3Pd13: relaxed, PBE. Values from VASP.

Calculated values
For the formation enthalpy at 0 K, the calculation gives 0.012 eV per atom. Its crystal system is orthorhombic.

Geometry as Quantum ESPRESSO input:
```
&SYSTEM
  ibrav = 0, nat = 16, ntyp = 2
/
ATOMIC_SPECIES
Ag 107.87 Ag.upf
Pd 106.42 Pd.upf
ATOMIC_POSITIONS crystal
Ag 0.999 0.001 0.251
Ag 0.751 0.249 0.000
Ag 0.999 0.001 0.749
Pd 0.497 0.998 0.251
Pd 0.500 0.500 0.251
Pd 0.002 0.503 0.251
Pd 0.746 0.746 0.000
Pd 0.254 0.254 0.000
Pd 0.252 0.748 0.000
Pd 0.497 0.998 0.749
Pd 0.500 0.500 0.749
Pd 0.002 0.503 0.749
Pd 0.747 0.253 0.500
Pd 0.747 0.746 0.500
Pd 0.254 0.253 0.500
Pd 0.251 0.749 0.500
CELL_PARAMETERS angstrom
5.647 0.033 0.000
0.013 5.647 0.000
0.000 0.000 7.945
```

6.
Mg2CdTc: relaxed, PBE. Values from VASP.

Calculated values
For the formation enthalpy at 0 K, the calculation gives 0.234 eV per atom. Its crystal system is orthorhombic.

Geometry as Quantum ESPRESSO input:
```
&SYSTEM
  ibrav = 0, nat = 4, ntyp = 3
/
ATOMIC_SPECIES
Cd 112.41 Cd.upf
Mg 24.30 Mg.upf
Tc 98.00 Tc.upf
ATOMIC_POSITIONS crystal
Cd 0.257 0.757 0.500
Mg 0.003 0.003 0.000
Mg 0.738 0.238 0.500
Tc 0.502 0.502 0.000
CELL_PARAMETERS angstrom
5.541 0.003 -0.002
2.633 4.875 0.002
-3.662 -3.151 2.713
```

7.
Y4Au2O: relaxed, PBE. Values from VASP.

Calculated values
Its uncorrected formation energy is -9.14 eV per formula unit. Its crystal system is tetragonal.

Geometry as Quantum ESPRESSO input:
```
&SYSTEM
  ibrav = 0, nat = 7, ntyp = 3
/
ATOMIC_SPECIES
Y 88.91 Y.upf
Au 196.97 Au.upf
O 16.00 O.upf
ATOMIC_POSITIONS crystal
Y 0.819 0.819 0.362
Y 0.181 0.181 0.638
Y 0.000 0.500 0.000
Y 0.500 0.000 0.000
Au 0.629 0.629 0.741
Au 0.371 0.371 0.259
O 0.000 0.000 0.000
CELL_PARAMETERS angstrom
-2.355 -4.038 -0.179
0.316 0.023 -4.667
5.378 -5.757 -2.010
```

8.
ZnW2I: relaxed, PBE. Values from VASP.

Calculated values
Its uncorrected formation energy is 4.93 eV per formula unit. Its crystal system is cubic.

Geometry as Quantum ESPRESSO input:
```
&SYSTEM
  ibrav = 0, nat = 4, ntyp = 3
/
ATOMIC_SPECIES
I 126.90 I.upf
Zn 65.41 Zn.upf
W 183.84 W.upf
ATOMIC_POSITIONS crystal
I 0.500 0.500 0.500
Zn 0.000 0.000 0.000
W 0.250 0.250 0.250
W 0.750 0.750 0.750
CELL_PARAMETERS angstrom
3.795 1.475 2.086
-0.037 3.966 2.280
0.240 0.015 4.568
```

9.
VPbCl4: relaxed, PBE. Values from VASP.

Calculated values
Its uncorrected formation energy is -6.56 eV per formula unit. Its crystal system is monoclinic.

Geometry as Quantum ESPRESSO input:
```
&SYSTEM
  ibrav = 0, nat = 6, ntyp = 3
/
ATOMIC_SPECIES
V 50.94 V.upf
Pb 207.20 Pb.upf
Cl 35.45 Cl.upf
ATOMIC_POSITIONS crystal
V 0.500 0.000 0.500
Pb 0.000 0.000 0.000
Cl 0.108 0.217 0.376
Cl 0.892 0.783 0.624
Cl 0.621 0.243 0.928
Cl 0.379 0.757 0.072
CELL_PARAMETERS angstrom
3.905 0.000 0.000
-1.952 10.179 2.450
0.000 4.630 5.395
```

10.
Ho2Er3Ag3: relaxed, PBE. Values from VASP.

Calculated values
For the formation enthalpy at 0 K, the calculation gives -0.227 eV per atom. Its crystal system is orthorhombic.

Geometry as Quantum ESPRESSO input:
```
&SYSTEM
  ibrav = 0, nat = 8, ntyp = 3
/
ATOMIC_SPECIES
Ho 164.93 Ho.upf
Er 167.26 Er.upf
Ag 107.87 Ag.upf
ATOMIC_POSITIONS crystal
Ho 0.268 0.768 0.537
Ho 0.732 0.232 0.463
Er 0.380 0.380 0.759
Er 0.620 0.620 0.241
Er 0.500 0.000 0.000
Ag 0.883 0.883 0.767
Ag 0.000 0.500 0.000
Ag 0.117 0.117 0.233
CELL_PARAMETERS angstrom
3.592 0.000 -0.578
-0.196 5.063 -1.218
-0.047 -0.003 11.148
```

11.
YScS: relaxed, PBE. Values from VASP.

Calculated values
Its uncorrected formation energy is -3.75 eV per formula unit. Its crystal system is trigonal.

Geometry as Quantum ESPRESSO input:
```
&SYSTEM
  ibrav = 0, nat = 3, ntyp = 3
/
ATOMIC_SPECIES
Y 88.91 Y.upf
Sc 44.96 Sc.upf
S 32.06 S.upf
ATOMIC_POSITIONS crystal
Y 0.000 0.000 0.061
Sc 0.333 0.667 0.590
S 0.667 0.333 0.348
CELL_PARAMETERS angstrom
3.683 0.000 0.000
-1.842 3.190 0.000
0.000 0.000 6.003
```

12.
Sr2LiZn: relaxed, PBE. Values from VASP.

Calculated values
For the formation enthalpy at 0 K, the calculation gives -0.030 eV per atom. Its crystal system is monoclinic.

Geometry as Quantum ESPRESSO input:
```
&SYSTEM
  ibrav = 0, nat = 4, ntyp = 3
/
ATOMIC_SPECIES
Sr 87.62 Sr.upf
Zn 65.41 Zn.upf
Li 6.94 Li.upf
ATOMIC_POSITIONS crystal
Sr 0.990 0.990 0.028
Sr 0.787 0.787 0.688
Zn 0.525 0.525 0.505
Li 0.198 0.198 0.280
CELL_PARAMETERS angstrom
-4.365 1.809 -4.717
-5.511 -1.604 -3.412
-4.617 2.474 2.417
```

Calculated E_tot (eV per atom), listed in the same order as above: -6.861; -4.364; -2.991; -2.640; -4.742; -3.383; -6.645; -5.951; -4.463; -4.151; -6.892; -1.668